# AlReF3 (GGA-PBEsol, optimized geometry)
data_AlReF3
_cell_length_a 4.157
_cell_length_b 4.157
_cell_length_c 4.157
_cell_angle_alpha 90.00
_cell_angle_beta 90.00
_cell_angle_gamma 90.00
_space_group_name_H-M_alt 'P m -3 m'
_space_group_IT_number 221
_space_group_name_Hall '-P 4 2 3'
loop_
_atom_site_label
_atom_site_type_symbol
_atom_site_fract_x
_atom_site_fract_y
_atom_site_fract_z
_atom_site_occupancy
Al1 Al 0.000 0.000 0.000 1
Re1 Re 0.500 0.500 0.500 1
F1 F 0.000 0.500 0.500 1
# electronic total energy = -5.222 eV per atom
# calculated volume = 14.37 A^3/atom
# N(E_F) = 3.9 states/eV per cell
# formation energy without anion corrections = -0.58 eV per atom
# magnetization = 0.00 μB per formula unit